Entry from Alexandria via LeMat-Bulk: a relaxed structure of Cs5I2ClO (PBE).

Energy relative to the elements, uncorrected in meV/atom: -1414
Total moment in μB per cell: 0.00

Cell: 5.801 8.327 10.537 Å, 113.27 105.98 90.00°
Fractional positions:
1 Cl 0.000 0.500 0.000
2 Cs 0.612 0.358 0.223
3 Cs 0.388 0.134 0.777
4 Cs 0.612 0.866 0.223
5 Cs 0.000 0.000 0.000
6 Cs 0.388 0.642 0.777
7 I 0.794 0.794 0.588
8 I 0.206 0.206 0.412
9 O 0.500 0.000 0.000



Entry from Alexandria via LeMat-Bulk: a relaxed structure of Nd6Ga3H (PBE).

Total DFT energy (no corrections) in Ry per atom: -0.3271
Total moment in μB per cell: 0.00

Cell: 6.440 8.392 9.940 Å, 90.00 85.67 90.00°
Fractional positions:
1 Nd 0.140 0.339 0.447
2 Nd 0.860 0.661 0.553
3 Nd 0.113 0.306 0.059
4 Nd 0.640 0.161 0.947
5 Nd 0.857 0.951 0.230
6 Nd 0.643 0.451 0.270
7 Nd 0.387 0.806 0.441
8 Nd 0.357 0.549 0.730
9 Nd 0.143 0.049 0.770
10 Nd 0.613 0.194 0.559
11 Nd 0.360 0.839 0.053
12 Nd 0.887 0.694 0.941
13 Ga 0.581 0.882 0.741
14 Ga 0.919 0.382 0.759
15 Ga 0.081 0.618 0.241
16 Ga 0.000 0.000 0.500
17 Ga 0.500 0.500 0.000
18 Ga 0.419 0.118 0.259
19 H 0.000 0.000 0.000
20 H 0.500 0.500 0.500



Entry from Alexandria via LeMat-Bulk: a relaxed structure of Be2Hg (PBE).

Distance to the lowest polymorph of the same formula in eV per atom: 0.2054
Total moment in μB per cell: 0.00
Energy of formation in eV per formula unit: 1.41

Cell: 4.692 4.692 6.202 Å, 87.67 87.67 36.37°
Fractional positions:
1 Be 0.278 0.278 0.413
2 Be 0.671 0.671 0.665
3 Be 0.049 0.049 0.901
4 Be 0.388 0.388 0.738
5 Hg 0.006 0.006 0.399
6 Hg 0.774 0.774 0.051



Entry from Alexandria via LeMat-Bulk: a relaxed structure of CdSi3Bi (PBE).

Distance to the lowest polymorph of the same formula in eV per atom: 0.0000
Energy relative to the elements, uncorrected in meV/atom: 1104
Total moment in μB per cell: 0.00

Cell: 5.044 5.044 5.044 Å, 90.00 90.00 90.00°
Fractional positions:
1 Bi 0.500 0.500 0.500
2 Cd 0.000 0.000 0.000
3 Si 0.000 0.000 0.500
4 Si 0.000 0.500 0.000
5 Si 0.500 0.000 0.000



Entry from Alexandria via LeMat-Bulk: a relaxed structure of Ba2AgSbO6 (PBE).

Energy relative to the elements, uncorrected in meV/atom: -1675
Total moment in μB per cell: 0.00

Cell: 6.212 6.211 5.695 Å, 62.73 62.70 99.17°
Fractional positions:
1 O 0.806 0.806 0.885
2 O 0.194 0.194 0.115
3 O 0.291 0.708 0.000
4 O 0.309 0.309 0.498
5 O 0.709 0.292 0.000
6 O 0.691 0.691 0.502
7 Ag 0.000 0.000 0.000
8 Ba 0.750 0.250 0.500
9 Ba 0.250 0.750 0.500
10 Sb 0.500 0.500 0.000



Entry from Alexandria via LeMat-Bulk: a relaxed structure of Pr8Si3S4Br (PBE).

Energy relative to the elements, uncorrected in meV/atom: -1454
Total moment in μB per cell: 0.00

Cell: 8.473 8.421 8.473 Å, 120.21 120.00 90.00°
Fractional positions:
1 Si 0.500 0.500 0.000
2 Si 0.500 0.500 0.500
3 Si 0.000 0.500 0.500
4 Pr 0.259 0.755 0.518
5 Pr 0.738 0.755 0.996
6 Pr 0.250 0.250 0.500
7 Pr 0.262 0.245 0.004
8 Pr 0.741 0.245 0.482
9 Pr 0.750 0.750 0.500
10 Pr 0.259 0.755 0.996
11 Pr 0.741 0.245 0.004
12 S 0.000 0.000 0.000
13 S 0.500 0.000 0.500
14 S 0.500 0.000 0.000
15 S 0.000 0.000 0.500
16 Br 0.000 0.500 0.000



Entry from Alexandria via LeMat-Bulk: a relaxed structure of Th2AlZn3Ga4 (PBE).

Total moment in μB per cell: 0.00
Energy of formation in eV per formula unit: -3.95

Cell: 4.280 4.280 10.570 Å, 90.00 90.00 90.00°
Fractional positions:
1 Zn 0.000 0.500 0.131
2 Zn 0.000 0.000 0.500
3 Zn 0.500 0.000 0.869
4 Ga 0.000 0.500 0.361
5 Ga 0.000 0.000 0.000
6 Ga 0.500 0.000 0.639
7 Ga 0.500 0.500 0.000
8 Th 0.500 0.000 0.247
9 Th 0.000 0.500 0.753
10 Al 0.500 0.500 0.500



Entry from Alexandria via LeMat-Bulk: a relaxed structure of Ce4BiRh (PBE).

Total moment in μB per cell: 1.50
Energy of formation in eV per formula unit: -2.78

Cell: 6.026 7.781 8.257 Å, 109.23 100.47 112.87°
Each line ends with the local moment (μB).
Fractional positions:
1 Ce 0.715 0.358 0.175  0.21
2 Ce 0.285 0.642 0.825  0.21
3 Ce 0.811 0.754 0.610  0.13
4 Ce 0.701 0.144 0.390  0.13
5 Ce 0.299 0.856 0.610  0.13
6 Ce 0.960 0.817 0.175  0.21
7 Ce 0.189 0.246 0.390  0.13
8 Ce 0.040 0.183 0.825  0.21
9 Bi 0.639 0.389 0.777  -0.01
10 Bi 0.361 0.611 0.223  -0.01
11 Rh 0.258 0.008 0.017  -0.02
12 Rh 0.742 0.992 0.983  -0.02



Entry from Alexandria via LeMat-Bulk: a relaxed structure of LiSiW2 (PBE).

Energy relative to the elements, uncorrected in meV/atom: 663
Total moment in μB per cell: 0.00

Cell: 6.727 6.727 5.445 Å, 51.85 51.85 90.00°
Fractional positions:
1 Li 0.250 0.750 0.500
2 Li 0.500 0.500 0.000
3 W 0.634 0.125 0.250
4 W 0.116 0.625 0.250
5 W 0.375 0.366 0.750
6 W 0.875 0.884 0.750
7 Si 0.750 0.250 0.500
8 Si 0.000 0.000 0.000



Entry from Alexandria via LeMat-Bulk: a relaxed structure of IrRhW2 (PBE).

Distance to the lowest polymorph of the same formula in eV per atom: 0.5854
Total moment in μB per cell: 0.00
Energy of formation in eV per formula unit: 1.41

Cell: 4.448 4.448 4.448 Å, 60.00 60.00 60.00°
Fractional positions:
1 W 0.250 0.250 0.250
2 W 0.750 0.750 0.750
3 Ir 0.500 0.500 0.500
4 Rh 0.000 0.000 0.000



Entry from Alexandria via LeMat-Bulk: a relaxed structure of CdSi2S (PBE).

Distance to the lowest polymorph of the same formula in eV per atom: 0.0000
Energy relative to the elements, uncorrected in meV/atom: 369
Total moment in μB per cell: 0.00

Cell: 5.785 5.785 6.924 Å, 65.31 65.31 90.00°
Fractional positions:
1 S 0.500 0.500 0.000
2 S 0.250 0.750 0.500
3 Cd 0.000 0.000 0.000
4 Cd 0.750 0.250 0.500
5 Si 0.597 0.125 0.250
6 Si 0.375 0.403 0.750
7 Si 0.875 0.847 0.750
8 Si 0.153 0.625 0.250



Entry from Alexandria via LeMat-Bulk: a relaxed structure of PtNCl3 (PBE).

Distance to the lowest polymorph of the same formula in eV per atom: 0.0000
Energy relative to the elements, uncorrected in meV/atom: 1378
Total moment in μB per cell: 0.00

Cell: 4.795 4.795 4.795 Å, 90.00 90.00 90.00°
Fractional positions:
1 Pt 0.000 0.000 0.000
2 N 0.500 0.500 0.500
3 Cl 0.500 0.000 0.000
4 Cl 0.000 0.500 0.000
5 Cl 0.000 0.000 0.500